The following is a DFT calculation (PBE-GGA) of a relaxed BeZnPb2 crystal.

Summary:
VASP energy in eV/atom: -2.882
Formation energy in eV per atom: 0.22

a b c (Å): 7.0867 4.0927 7.0615
angles (deg): 90.00 109.42 90.00
Last column: nearest neighbours and their distance in Å.
Space group Cm (No. 8)
Symmetry-distinct sites (fractional):
Be 0.0000 0.0000 0.0000 (multiplicity 2)  3 Zn 2.36
Zn 0.3327 0.0000 0.9985 (multiplicity 2)  3 Be 2.36
Pb 0.0782 0.5000 0.7321 (multiplicity 2)  3 Zn 2.95-2.96, 3 Be 2.96
Pb 0.2543 0.5000 0.2659 (multiplicity 2)  3 Be 2.95-2.96, 3 Zn 2.96